This record from Alexandria via LeMat-Bulk describes Sc3FeTc after structural relaxation. The functional is PBE.

Cell: 4.6935 4.6935 4.6935 Å, 90.00 90.00 90.00°
Atoms (fractional coordinates):
Sc: 0.0000 0.5000 0.0000
Sc: 0.0000 0.0000 0.5000
Sc: 0.5000 0.0000 0.0000
Tc: 0.5000 0.5000 0.5000
Fe: 0.0000 0.0000 0.0000

Values from the calculation:
The final energy is -7.100 eV per atom. The energy relative to the lowest polymorph listed for this composition comes out at 0.000 eV per atom. The calculation puts the formation energy from the elements at 224.1 kJ/mol of formula units. The space group is Pm-3m (221). The magnetic moment is 1.79 μB per cell.